Entry 1:
Below is crystalline Cu2Pd2Cl7 at its relaxed geometry, with properties calculated at the PBE level.

- DOS(E_F): 0.2558 states/eV/atom
- Formation energy (no corrections): -0.463 eV per atom
- Energy above the lowest structure with this stoichiometry: 0 meV/atom

Structure (CIF):
```
data_Cu2Pd2Cl7
_chemical_formula_sum 'Cu4 Pd4 Cl14'
_cell_length_a 7.5215
_cell_length_b 7.5215
_cell_length_c 16.3711
_cell_angle_alpha 112.90
_cell_angle_beta 112.90
_cell_angle_gamma 100.54
_space_group_name_H-M_alt 'P 1'
_space_group_IT_number 1
loop_
_space_group_symop_operation_xyz
'x,y,z'
loop_
_atom_site_label
_atom_site_fract_x
_atom_site_fract_y
_atom_site_fract_z
Cu1 0.8735 0.7957 0.2239
Cl1 0.4226 0.9852 0.2471
Cl2 0.3086 0.0671 0.4603
Cl3 0.0671 0.3086 0.9603
Cl4 0.5730 0.5439 0.6609
Cl5 0.4270 0.4561 0.3391
Pd1 0.7489 0.3506 0.8954
Cl6 0.5774 0.0148 0.7529
Pd2 0.3506 0.7489 0.3954
Cl7 0.8942 0.1058 0.2500
Cu2 0.7957 0.8735 0.7239
Pd3 0.6494 0.2511 0.6046
Cl8 0.1058 0.8942 0.7500
Pd4 0.2511 0.6494 0.1046
Cu3 0.2043 0.1265 0.2761
Cu4 0.1265 0.2043 0.7761
Cl9 0.4561 0.4270 0.8391
Cl10 0.0148 0.5774 0.2529
Cl11 0.9329 0.6914 0.0397
Cl12 0.9852 0.4226 0.7471
Cl13 0.6914 0.9329 0.5397
Cl14 0.5439 0.5730 0.1609
```

=====

Entry 2:
Below is crystalline HoErAs2 at its relaxed geometry, with properties calculated at the PBE level.

- DOS(E_F): 0.0958 states/eV/atom
- Energy of formation: -1.37 eV/atom
- Energy above the lowest structure with this stoichiometry: 153 meV/atom

Structure (CIF):
```
data_HoErAs2
_chemical_formula_sum 'Ho1 Er1 As2'
_cell_length_a 4.0532
_cell_length_b 4.0532
_cell_length_c 7.3422
_cell_angle_alpha 73.98
_cell_angle_beta 73.98
_cell_angle_gamma 60.00
_space_group_name_H-M_alt 'P 1'
_space_group_IT_number 1
loop_
_space_group_symop_operation_xyz
'x,y,z'
loop_
_atom_site_label
_atom_site_fract_x
_atom_site_fract_y
_atom_site_fract_z
As1 0.2515 0.2515 0.2454
As2 0.0816 0.0816 0.7551
Ho1 0.4978 0.4978 0.5065
Er1 0.6690 0.6690 0.9930
```

=====

Entry 3:
Below is crystalline Sm2ScCu at its relaxed geometry, with properties calculated at the PBE level.

- DOS(E_F): 1.1701 states/eV/atom
- Energy of formation: 0.05 eV/atom
- Energy above the lowest structure with this stoichiometry: 93 meV/atom

Structure (CIF):
```
data_Sm2ScCu
_chemical_formula_sum 'Sm2 Sc1 Cu1'
_cell_length_a 3.6033
_cell_length_b 5.3020
_cell_length_c 5.3020
_cell_angle_alpha 90.00
_cell_angle_beta 90.00
_cell_angle_gamma 90.00
_space_group_name_H-M_alt 'P 1'
_space_group_IT_number 1
loop_
_space_group_symop_operation_xyz
'x,y,z'
loop_
_atom_site_label
_atom_site_fract_x
_atom_site_fract_y
_atom_site_fract_z
Sm1 0.0000 0.5000 0.0000
Sm2 0.0000 0.0000 0.5000
Cu1 0.5000 0.0000 0.0000
Sc1 0.5000 0.5000 0.5000
```